Density functional theory data (PBE) for ZnSn2W after structural relaxation.

Structure (POSCAR):
```
ZnSn2W
1.0
-3.878 3.878 2.881
3.878 -3.878 2.881
3.878 3.878 -2.881
Zn Sn W
2 4 2
Direct
0.000 0.000 0.000
0.750 0.250 0.500
0.135 0.125 0.510
0.375 0.865 0.990
0.615 0.625 0.490
0.875 0.385 0.010
0.250 0.750 0.500
0.500 0.500 0.000
```

Values from the calculation:
DOS at the Fermi energy = 2.677 states/eV per cell
Total magnetization = 0.00 μB per atom
VASP energy = -4.718 eV per atom
Space group = I-42d, No. 122
Crystal system = tetragonal
ΔH_f (0 K) = 0.84 eV/atom



Density functional theory data (PBE) for Zn2Sn2W after structural relaxation.

Structure (POSCAR):
```
Zn2Sn2W
1.0
7.249 0.000 0.000
0.000 7.249 0.000
0.000 0.000 3.789
Zn Sn W
4 4 2
Direct
0.149 0.351 0.000
0.351 0.851 0.000
0.649 0.149 0.000
0.851 0.649 0.000
0.155 0.655 0.500
0.345 0.155 0.500
0.655 0.845 0.500
0.845 0.345 0.500
0.000 0.000 0.500
0.500 0.500 0.500
```

Values from the calculation:
DOS at the Fermi energy = 5.339 states/eV per cell
Total magnetization = 0.00 μB per atom
VASP energy = -4.063 eV per atom
Space group = P4/mbm, No. 127
Crystal system = tetragonal
ΔH_f (0 K) = 0.64 eV/atom
Polymorph energy (0 for the lowest one) = 87 meV/atom



Density functional theory data (PBE) for ZnSnW2 after structural relaxation.

Structure (POSCAR):
```
ZnSnW2
1.0
0.000 3.222 3.222
3.222 0.000 3.222
3.222 3.222 0.000
Zn Sn W
1 1 2
Direct
0.000 0.000 0.000
0.500 0.500 0.500
0.250 0.250 0.250
0.750 0.750 0.750
```

Values from the calculation:
DOS at the Fermi energy = 4.597 states/eV per cell
Total magnetization = 0.00 μB per atom
VASP energy = -7.037 eV per atom
Space group = Fm-3m, No. 225
Crystal system = cubic
ΔH_f (0 K) = 0.76 eV/atom
Polymorph energy (0 for the lowest one) = 15 meV/atom



Density functional theory data (PBE) for Zn2Sn2W after structural relaxation.

Structure (POSCAR):
```
Zn2Sn2W
1.0
-1.758 1.758 8.121
1.758 -1.758 8.121
1.758 1.758 -8.121
Zn Sn W
2 2 1
Direct
0.250 0.750 0.500
0.750 0.250 0.500
0.094 0.094 0.000
0.906 0.906 0.000
0.500 0.500 0.000
```

Values from the calculation:
DOS at the Fermi energy = 5.470 states/eV per cell
Total magnetization = 0.00 μB per atom
VASP energy = -4.150 eV per atom
Space group = I4/mmm, No. 139
Crystal system = tetragonal
ΔH_f (0 K) = 0.55 eV/atom
Polymorph energy (0 for the lowest one) = 0 meV/atom



Density functional theory data (PBE) for ZnSnW3 after structural relaxation.

Structure (POSCAR):
```
ZnSnW3
1.0
4.594 0.000 0.000
0.000 4.594 0.000
0.000 0.000 4.594
Zn Sn W
1 1 3
Direct
0.000 0.000 0.000
0.500 0.500 0.500
0.000 0.000 0.500
0.000 0.500 0.000
0.500 0.000 0.000
```

Values from the calculation:
DOS at the Fermi energy = 5.568 states/eV per cell
Total magnetization = 0.00 μB per atom
VASP energy = -7.003 eV per atom
Space group = Pm-3m, No. 221
Crystal system = cubic
ΔH_f (0 K) = 1.82 eV/atom
Polymorph energy (0 for the lowest one) = 0 meV/atom



Density functional theory data (PBE) for ZrSnW2 after structural relaxation.

Structure (POSCAR):
```
ZrSnW2
1.0
-3.832 3.832 2.805
3.832 -3.832 2.805
3.832 3.832 -2.805
Zr Sn W
2 2 4
Direct
0.000 0.000 0.000
0.750 0.250 0.500
0.250 0.750 0.500
0.500 0.500 0.000
0.137 0.625 0.012
0.375 0.387 0.512
0.613 0.125 0.988
0.875 0.863 0.488
```

Values from the calculation:
DOS at the Fermi energy = 9.225 states/eV per cell
Total magnetization = 0.00 μB per atom
VASP energy = -8.555 eV per atom
Space group = I-42d, No. 122
Crystal system = tetragonal
ΔH_f (0 K) = 1.06 eV/atom



Density functional theory data (PBE) for Zr2Sn2W after structural relaxation.

Structure (POSCAR):
```
Zr2Sn2W
1.0
7.254 0.000 0.000
0.000 7.254 0.000
0.000 0.000 4.033
Zr Sn W
4 4 2
Direct
0.168 0.332 0.000
0.332 0.832 0.000
0.668 0.168 0.000
0.832 0.668 0.000
0.138 0.638 0.500
0.362 0.138 0.500
0.638 0.862 0.500
0.862 0.362 0.500
0.000 0.000 0.500
0.500 0.500 0.500
```

Values from the calculation:
DOS at the Fermi energy = 1.045 states/eV per cell
Total magnetization = 0.00 μB per atom
VASP energy = -7.731 eV per atom
Space group = P4/mbm, No. 127
Crystal system = tetragonal
ΔH_f (0 K) = -0.12 eV/atom



Density functional theory data (PBE) for ZrSnW3 after structural relaxation.

Structure (POSCAR):
```
ZrSnW3
1.0
4.871 0.000 0.000
0.000 4.871 0.000
0.000 0.000 4.871
Zr Sn W
1 1 3
Direct
0.000 0.000 0.000
0.500 0.500 0.500
0.000 0.500 0.500
0.500 0.000 0.500
0.500 0.500 0.000
```

Values from the calculation:
DOS at the Fermi energy = 6.025 states/eV per cell
Total magnetization = 0.00 μB per atom
VASP energy = -8.044 eV per atom
Space group = Pm-3m, No. 221
Crystal system = cubic
ΔH_f (0 K) = 2.24 eV/atom
Polymorph energy (0 for the lowest one) = 0 meV/atom



Density functional theory data (PBE) for ZrSn2W after structural relaxation.

Structure (POSCAR):
```
ZrSn2W
1.0
-2.083 2.083 10.360
2.083 -2.083 10.360
2.083 2.083 -10.360
Zr Sn W
2 4 2
Direct
0.000 0.000 0.000
0.750 0.250 0.500
0.129 0.625 0.004
0.375 0.379 0.504
0.621 0.125 0.996
0.875 0.871 0.496
0.250 0.750 0.500
0.500 0.500 0.000
```

Values from the calculation:
DOS at the Fermi energy = 6.424 states/eV per cell
Total magnetization = 0.00 μB per atom
VASP energy = -6.903 eV per atom
Space group = I-42d, No. 122
Crystal system = tetragonal
ΔH_f (0 K) = 0.47 eV/atom
Polymorph energy (0 for the lowest one) = 270 meV/atom



Density functional theory data (PBE) for ZrSnW3 after structural relaxation.

Structure (POSCAR):
```
ZrSnW3
1.0
4.851 0.000 0.000
0.000 4.851 0.000
0.000 0.000 4.851
Zr Sn W
1 1 3
Direct
0.000 0.000 0.000
0.500 0.500 0.500
0.000 0.000 0.500
0.000 0.500 0.000
0.500 0.000 0.000
```

Values from the calculation:
DOS at the Fermi energy = 5.150 states/eV per cell
Total magnetization = 0.00 μB per atom
VASP energy = -7.865 eV per atom
Space group = Pm-3m, No. 221
Crystal system = cubic
ΔH_f (0 K) = 2.42 eV/atom
Polymorph energy (0 for the lowest one) = 179 meV/atom



Density functional theory data (PBE) for ZrSn2W after structural relaxation.

Structure (POSCAR):
```
ZrSn2W
1.0
0.000 3.430 3.430
3.430 0.000 3.430
3.430 3.430 0.000
Zr Sn W
1 2 1
Direct
0.000 0.000 0.000
0.250 0.250 0.250
0.750 0.750 0.750
0.500 0.500 0.500
```

Values from the calculation:
DOS at the Fermi energy = 1.979 states/eV per cell
Total magnetization = 0.00 μB per atom
VASP energy = -7.173 eV per atom
Space group = Fm-3m, No. 225
Crystal system = cubic
ΔH_f (0 K) = 0.20 eV/atom
Polymorph energy (0 for the lowest one) = 0 meV/atom



Density functional theory data (PBE) for Y5Sn4 after structural relaxation.

Structure (POSCAR):
```
Y5Sn4
1.0
-4.738 4.738 3.077
4.738 -4.738 3.077
4.738 4.738 -3.077
Y Sn
5 4
Direct
0.000 0.000 0.000
0.237 0.604 0.841
0.396 0.237 0.632
0.604 0.763 0.368
0.763 0.396 0.159
0.080 0.317 0.396
0.317 0.920 0.237
0.683 0.080 0.763
0.920 0.683 0.604
```

Values from the calculation:
DOS at the Fermi energy = 8.200 states/eV per cell
Total magnetization = 0.00 μB per atom
VASP energy = -5.808 eV per atom
Space group = I4/m, No. 87
Crystal system = tetragonal
ΔH_f (0 K) = -0.44 eV/atom



Density functional theory data (PBE) for YSn3 after structural relaxation.

Structure (POSCAR):
```
YSn3
1.0
4.415 0.000 0.000
0.000 2.216 11.147
0.000 -2.216 11.147
Y Sn
2 6
Direct
0.000 0.000 0.000
0.500 0.271 0.271
0.000 0.150 0.150
0.000 0.387 0.387
0.000 0.764 0.764
0.500 0.521 0.521
0.500 0.656 0.656
0.500 0.888 0.888
```

Values from the calculation:
DOS at the Fermi energy = 2.724 states/eV per cell
Total magnetization = 0.00 μB per atom
VASP energy = -5.009 eV per atom
Space group = Amm2, No. 38
Crystal system = orthorhombic
ΔH_f (0 K) = -0.39 eV/atom



Density functional theory data (PBE) for YSn4 after structural relaxation.

Structure (POSCAR):
```
YSn4
1.0
-2.328 3.209 9.032
2.328 -3.209 9.032
2.328 3.209 -9.032
Y Sn
2 8
Direct
0.340 0.090 0.250
0.660 0.910 0.750
0.000 0.500 0.500
0.153 0.903 0.250
0.186 0.692 0.494
0.302 0.308 0.994
0.500 0.500 0.000
0.698 0.692 0.006
0.814 0.308 0.506
0.847 0.097 0.750
```

Values from the calculation:
DOS at the Fermi energy = 4.287 states/eV per cell
Total magnetization = 0.00 μB per atom
VASP energy = -4.808 eV per atom
Space group = Imma, No. 74
Crystal system = orthorhombic
ΔH_f (0 K) = -0.31 eV/atom
Polymorph energy (0 for the lowest one) = 0 meV/atom



Density functional theory data (PBE) for YSn2 after structural relaxation.

Structure (POSCAR):
```
YSn2
1.0
2.982 -3.023 0.000
2.982 3.023 0.000
-2.370 0.000 4.644
Y Sn
1 2
Direct
0.000 0.000 0.000
0.365 0.365 0.687
0.635 0.635 0.313
```

Values from the calculation:
DOS at the Fermi energy = 2.118 states/eV per cell
Total magnetization = 0.00 μB per atom
VASP energy = -5.197 eV per atom
Space group = C2/m, No. 12
Crystal system = monoclinic
ΔH_f (0 K) = -0.37 eV/atom



Density functional theory data (PBE) for YSn3 after structural relaxation.

Structure (POSCAR):
```
YSn3
1.0
0.000 3.827 3.827
3.827 0.000 3.827
3.827 3.827 0.000
Y Sn
1 3
Direct
0.000 0.000 0.000
0.250 0.250 0.250
0.500 0.500 0.500
0.750 0.750 0.750
```

Values from the calculation:
DOS at the Fermi energy = 3.041 states/eV per cell
Total magnetization = 0.00 μB per atom
VASP energy = -4.794 eV per atom
Space group = Fm-3m, No. 225
Crystal system = cubic
ΔH_f (0 K) = -0.18 eV/atom



Density functional theory data (PBE) for YSn3 after structural relaxation.

Structure (POSCAR):
```
YSn3
1.0
-2.232 2.240 5.289
2.232 -2.240 5.289
2.232 2.240 -5.289
Y Sn
1 3
Direct
0.000 0.000 0.000
0.250 0.750 0.500
0.500 0.500 0.000
0.750 0.250 0.500
```

Values from the calculation:
DOS at the Fermi energy = 2.050 states/eV per cell
Total magnetization = 0.00 μB per atom
VASP energy = -5.026 eV per atom
Space group = Immm, No. 71
Crystal system = orthorhombic
ΔH_f (0 K) = -0.41 eV/atom



Density functional theory data (PBE) for Y2Sn3 after structural relaxation.

Structure (POSCAR):
```
Y2Sn3
1.0
7.678 0.000 0.000
0.000 7.678 0.000
0.000 0.000 4.513
Y Sn
4 6
Direct
0.146 0.694 0.000
0.306 0.146 0.000
0.694 0.854 0.000
0.854 0.306 0.000
0.000 0.000 0.500
0.172 0.397 0.500
0.397 0.828 0.500
0.500 0.500 0.000
0.603 0.172 0.500
0.828 0.603 0.500
```

Values from the calculation:
DOS at the Fermi energy = 7.101 states/eV per cell
Total magnetization = 0.00 μB per atom
VASP energy = -5.624 eV per atom
Space group = P4/m, No. 83
Crystal system = tetragonal
ΔH_f (0 K) = -0.64 eV/atom
Polymorph energy (0 for the lowest one) = 0 meV/atom



Density functional theory data (PBE) for YSn3 after structural relaxation.

Structure (POSCAR):
```
YSn3
1.0
4.713 0.000 0.000
0.000 4.713 0.000
0.000 0.000 4.734
Y Sn
1 3
Direct
0.000 0.000 0.000
0.000 0.500 0.500
0.500 0.000 0.500
0.500 0.500 0.000
```

Values from the calculation:
DOS at the Fermi energy = 2.660 states/eV per cell
Total magnetization = 0.00 μB per atom
VASP energy = -5.047 eV per atom
Space group = P4/mmm, No. 123
Crystal system = tetragonal
ΔH_f (0 K) = -0.43 eV/atom



Density functional theory data (PBE) for YSn6 after structural relaxation.

Structure (POSCAR):
```
YSn6
1.0
-4.034 4.034 4.034
4.034 -4.034 4.034
4.034 4.034 -4.034
Y Sn
1 6
Direct
0.000 0.000 0.000
0.250 0.500 0.750
0.250 0.750 0.500
0.500 0.250 0.750
0.500 0.750 0.250
0.750 0.250 0.500
0.750 0.500 0.250
```

Values from the calculation:
DOS at the Fermi energy = 7.177 states/eV per cell
Total magnetization = 0.05 μB per atom
VASP energy = -3.946 eV per atom
Space group = Im-3m, No. 229
Crystal system = cubic
ΔH_f (0 K) = 0.41 eV/atom



Density functional theory data (PBE) for YSn2 after structural relaxation.

Structure (POSCAR):
```
YSn2
1.0
2.208 -8.182 0.000
2.208 8.182 0.000
0.000 0.000 4.387
Y Sn
2 4
Direct
0.099 0.901 0.750
0.901 0.099 0.250
0.252 0.748 0.250
0.436 0.564 0.750
0.564 0.436 0.250
0.748 0.252 0.750
```

Values from the calculation:
DOS at the Fermi energy = 3.220 states/eV per cell
Total magnetization = 0.00 μB per atom
VASP energy = -5.436 eV per atom
Space group = Cmcm, No. 63
Crystal system = orthorhombic
ΔH_f (0 K) = -0.61 eV/atom



Density functional theory data (PBE) for YSn2 after structural relaxation.

Structure (POSCAR):
```
YSn2
1.0
0.000 4.365 4.365
4.365 0.000 4.365
4.365 4.365 0.000
Y Sn
2 4
Direct
0.125 0.125 0.125
0.875 0.875 0.875
0.000 0.500 0.500
0.500 0.000 0.500
0.500 0.500 0.000
0.500 0.500 0.500
```

Values from the calculation:
DOS at the Fermi energy = 5.571 states/eV per cell
Total magnetization = 0.26 μB per atom
VASP energy = -5.063 eV per atom
Space group = Fd-3m, No. 227
Crystal system = cubic
ΔH_f (0 K) = -0.24 eV/atom



Density functional theory data (PBE) for Y2Sn3 after structural relaxation.

Structure (POSCAR):
```
Y2Sn3
1.0
3.445 -5.000 0.000
3.445 5.000 0.000
0.000 0.000 8.123
Y Sn
4 6
Direct
0.149 0.851 0.897
0.351 0.649 0.397
0.649 0.351 0.603
0.851 0.149 0.103
0.000 0.000 0.500
0.134 0.366 0.750
0.366 0.134 0.250
0.500 0.500 0.000
0.634 0.866 0.750
0.866 0.634 0.250
```

Values from the calculation:
DOS at the Fermi energy = 3.982 states/eV per cell
Total magnetization = 0.00 μB per atom
VASP energy = -5.479 eV per atom
Space group = Cmce, No. 64
Crystal system = orthorhombic
ΔH_f (0 K) = -0.49 eV/atom
Polymorph energy (0 for the lowest one) = 145 meV/atom



Density functional theory data (PBE) for Y5Sn after structural relaxation.

Structure (POSCAR):
```
Y5Sn
1.0
2.428 -7.518 0.000
2.428 7.518 0.000
0.000 0.000 4.895
Y Sn
5 1
Direct
0.000 0.000 0.000
0.161 0.839 0.500
0.333 0.667 0.000
0.667 0.333 0.000
0.839 0.161 0.500
0.500 0.500 0.500
```

Values from the calculation:
DOS at the Fermi energy = 7.592 states/eV per cell
Total magnetization = 0.00 μB per atom
VASP energy = -6.323 eV per atom
Space group = Cmmm, No. 65
Crystal system = orthorhombic
ΔH_f (0 K) = -0.27 eV/atom



Density functional theory data (PBE) for YSn4 after structural relaxation.

Structure (POSCAR):
```
YSn4
1.0
5.741 0.000 0.000
0.000 5.741 0.000
0.000 0.000 5.741
Y Sn
1 4
Direct
0.000 0.000 0.000
0.000 0.000 0.500
0.000 0.500 0.000
0.500 0.000 0.000
0.500 0.500 0.500
```

Values from the calculation:
DOS at the Fermi energy = 3.462 states/eV per cell
Total magnetization = 0.00 μB per atom
VASP energy = -4.001 eV per atom
Space group = Pm-3m, No. 221
Crystal system = cubic
ΔH_f (0 K) = 0.49 eV/atom
Polymorph energy (0 for the lowest one) = 807 meV/atom



Density functional theory data (PBE) for Y2Zn3Sn after structural relaxation.

Structure (POSCAR):
```
Y2Zn3Sn
1.0
3.647 0.000 0.000
0.000 4.519 0.000
0.000 0.000 7.887
Y Zn Sn
2 3 1
Direct
0.000 0.000 0.000
0.000 0.500 0.478
0.500 0.000 0.316
0.500 0.000 0.634
0.500 0.500 0.169
0.500 0.500 0.822
```

Values from the calculation:
DOS at the Fermi energy = 3.301 states/eV per cell
Total magnetization = 0.00 μB per atom
VASP energy = -3.938 eV per atom
Space group = Pmm2, No. 25
Crystal system = orthorhombic
ΔH_f (0 K) = -0.48 eV/atom
Polymorph energy (0 for the lowest one) = 21 meV/atom